1.
Computed, not measured: crystalline SiRuW at its relaxed geometry at the GGA-PBEsol level of DFT.

The calculated total energy is -10.26 eV per atom. The formation energy without anion corrections comes out at -353 meV/atom. For the volume, the calculation gives 13.44 A^3/atom. For the mass density, the calculation gives 12895 kg/m³. As for the total magnetization: 0.00 μB per formula unit.

The space group is I4mm (No. 107) and the conventional cell measures 2.8569, 2.8569 and 9.8763 Å, with angles of 90.00, 90.00 and 90.00 degrees. The asymmetric unit holds Si at (0.0000, 0.0000, 0.0000), Ru at (0.0000, 0.0000, 0.3600) and W at (0.0000, 0.0000, 0.6730).



2.
Computed, not measured: crystalline Y2Si2Ru at its relaxed geometry at the GGA-PBEsol level of DFT.

The calculated total energy is -7.34 eV per atom. The formation energy without anion corrections comes out at -274 meV/atom. For the volume, the calculation gives 19.76 A^3/atom. For the mass density, the calculation gives 5632 kg/m³. As for the total magnetization: 0.00 μB per formula unit.

The space group is I4/mmm (No. 139) and the conventional cell measures 3.4326, 3.4326 and 16.7676 Å, with angles of 90.00, 90.00 and 90.00 degrees. The asymmetric unit holds Y at (0.0000, 0.0000, 0.0982), Si at (0.0000, 0.5000, 0.2500) and Ru at (0.0000, 0.0000, 0.5000).



3.
Computed, not measured: crystalline YSi2Ru3 at its relaxed geometry at the GGA-PBEsol level of DFT.

The calculated total energy is -8.81 eV per atom. The formation energy without anion corrections comes out at -672 meV/atom. For the volume, the calculation gives 15.67 A^3/atom. For the mass density, the calculation gives 7918 kg/m³. As for the total magnetization: 0.00 μB per formula unit.

The space group is P6/mmm (No. 191) and the conventional cell measures 5.4696, 5.4696 and 3.6286 Å, with angles of 90.00, 90.00 and 120.00 degrees. The asymmetric unit holds Y at (0.0000, 0.0000, 0.0000), Si at (0.3333, 0.6667, 0.0000) and Ru at (0.0000, 0.5000, 0.5000).



4.
Computed, not measured: crystalline Y2Si2Ru at its relaxed geometry at the GGA-PBEsol level of DFT.

The calculated total energy is -7.88 eV per atom. The formation energy without anion corrections comes out at -821 meV/atom. For the volume, the calculation gives 18.55 A^3/atom. For the mass density, the calculation gives 5999 kg/m³. As for the total magnetization: 0.00 μB per formula unit.

The space group is P4/mbm (No. 127) and the conventional cell measures 6.5918, 6.5918 and 4.2685 Å, with angles of 90.00, 90.00 and 90.00 degrees. The asymmetric unit holds Y at (0.1759, 0.3241, 0.0000), Si at (0.1310, 0.6310, 0.5000) and Ru at (0.0000, 0.0000, 0.5000).



5.
Computed, not measured: crystalline Y2SiRu at its relaxed geometry at the GGA-PBEsol level of DFT.

The calculated total energy is -8.02 eV per atom. The formation energy without anion corrections comes out at -630 meV/atom. For the volume, the calculation gives 21.12 A^3/atom. For the mass density, the calculation gives 6034 kg/m³. As for the total magnetization: 0.00 μB per formula unit.

The space group is Amm2 (No. 38) and the conventional cell measures 3.8009, 4.1849 and 10.6217 Å, with angles of 90.00, 90.00 and 90.00 degrees. The asymmetric unit holds Y at (0.0000, 0.0000, 0.0000), Y at (0.5000, 0.0000, 0.2807), Si at (0.5000, 0.0000, 0.5808) and Ru at (0.0000, 0.0000, 0.7222).



6.
Computed, not measured: crystalline YSi2Ru at its relaxed geometry at the GGA-PBEsol level of DFT.

The calculated total energy is -7.67 eV per atom. The formation energy without anion corrections comes out at -548 meV/atom. For the volume, the calculation gives 17.42 A^3/atom. For the mass density, the calculation gives 5866 kg/m³. As for the total magnetization: 0.00 μB per formula unit.

The space group is Pmmm (No. 47) and the conventional cell measures 3.3294, 4.2306 and 4.9468 Å, with angles of 90.00, 90.00 and 90.00 degrees. The asymmetric unit holds Y at (0.0000, 0.0000, 0.0000), Si at (0.5000, 0.5000, 0.2535) and Ru at (0.5000, 0.0000, 0.5000).